First-principles (PBE) data for an optimized crystal structure of Na2CeNpSe4, as listed in Alexandria.

Structure (POSCAR):
```
Na2CeNpSe4
1.0
7.349 0.000 0.000
0.000 4.244 0.000
-2.461 0.000 6.973
Na Ce Np Se
2 1 1 4
Cartesian
0.000 0.000 0.000 Na
3.674 2.122 0.000 Na
-1.230 2.122 3.487 Ce
2.444 0.000 3.487 Np
0.013 0.000 5.128 Se
1.248 2.122 1.871 Se
3.640 2.122 5.102 Se
4.875 0.000 1.846 Se
```

## Properties
- Mass density: 5642 kg/m3
- Raw formation energy: -32.5 kcal/mol of atoms
- Electronic total energy: -46.7 eV for the cell shown

First-principles (PBE) data for an optimized crystal structure of Na3CeNp2Se6, as listed in Alexandria.

Structure (POSCAR):
```
Na3CeNp2Se6
1.0
3.655 -6.331 0.000
3.655 6.331 0.000
-2.438 0.000 6.985
Na Ce Np Se
3 1 2 6
Cartesian
0.000 0.000 0.000 Na
3.655 2.103 0.000 Na
3.655 -2.103 0.000 Na
2.436 0.000 3.492 Ce
2.436 4.220 3.492 Np
2.436 -4.220 3.492 Np
1.200 2.141 1.866 Se
-0.037 0.000 5.123 Se
1.200 -2.141 1.866 Se
3.672 2.141 5.119 Se
4.909 0.000 1.862 Se
3.672 -2.141 5.119 Se
```

## Properties
- Mass density: 5943 kg/m3
- Raw formation energy: -30.9 kcal/mol of atoms
- Electronic total energy: -72.8 eV for the cell shown

Repeat the second record exactly.
First-principles (PBE) data for an optimized crystal structure of Na3CeNp2Se6, as listed in Alexandria.

Structure (POSCAR):
```
Na3CeNp2Se6
1.0
3.655 -6.331 0.000
3.655 6.331 0.000
-2.438 0.000 6.985
Na Ce Np Se
3 1 2 6
Cartesian
0.000 0.000 0.000 Na
3.655 2.103 0.000 Na
3.655 -2.103 0.000 Na
2.436 0.000 3.492 Ce
2.436 4.220 3.492 Np
2.436 -4.220 3.492 Np
1.200 2.141 1.866 Se
-0.037 0.000 5.123 Se
1.200 -2.141 1.866 Se
3.672 2.141 5.119 Se
4.909 0.000 1.862 Se
3.672 -2.141 5.119 Se
```

## Properties
- Mass density: 5943 kg/m3
- Raw formation energy: -30.9 kcal/mol of atoms
- Electronic total energy: -72.8 eV for the cell shown